[1]
AcAgPd: optimized geometry, PBE-GGA.

Calculated values
As for the space-group type: Pmma (51). The calculation puts the energy relative to the elements at -595 meV per atom.

a = 3.938 Å, b = 8.465 Å, c = 4.636 Å
α = 90.00°, β = 90.00°, γ = 90.00°
Atoms (fractional coordinates):
Ac  0.688  0.282  0.216
Ac  0.688  0.718  0.716
Ag  0.188  0.914  0.216
Ag  0.188  0.086  0.716
Pd  0.188  0.590  0.216
Pd  0.188  0.410  0.716

---

[2]
AcAgPd: optimized geometry, PBE-GGA.

Calculated values
As for the space-group type: F-43m (216). The calculation puts the energy relative to the elements at -48 meV per atom.

a = 5.053 Å, b = 5.053 Å, c = 5.053 Å
α = 60.00°, β = 60.00°, γ = 60.00°
Atoms (fractional coordinates):
Ac  0.000  0.000  0.000
Ag  0.250  0.250  0.250
Pd  0.750  0.750  0.750

---

[3]
AcAgPt: optimized geometry, PBE-GGA.

Calculated values
As for the space-group type: F-43m (216). The calculation puts the energy relative to the elements at -639 meV per atom.

a = 4.927 Å, b = 4.927 Å, c = 4.927 Å
α = 60.00°, β = 60.00°, γ = 60.00°
Atoms (fractional coordinates):
Ac  0.250  0.250  0.250
Ag  0.750  0.750  0.750
Pt  0.000  0.000  0.000

---

[4]
AcAgPt: optimized geometry, PBE-GGA.

Calculated values
As for the space-group type: F-43m (216). The calculation puts the energy relative to the elements at -229 meV per atom.

a = 5.044 Å, b = 5.044 Å, c = 5.044 Å
α = 60.00°, β = 60.00°, γ = 60.00°
Atoms (fractional coordinates):
Ac  0.000  0.000  0.000
Ag  0.250  0.250  0.250
Pt  0.750  0.750  0.750

---

[5]
AcAgSb2: optimized geometry, PBE-GGA.

Calculated values
As for the space-group type: P4/nmm (129). The value obtained for the total energy is -36.03 eV/cell.

a = 4.520 Å, b = 4.520 Å, c = 11.230 Å
α = 90.00°, β = 90.00°, γ = 90.00°
Atoms (fractional coordinates):
Ac  0.000  0.500  0.260
Ac  0.500  0.000  0.740
Ag  0.000  0.000  0.000
Ag  0.500  0.500  0.000
Sb  0.500  0.000  0.162
Sb  0.000  0.000  0.500
Sb  0.500  0.500  0.500
Sb  0.000  0.500  0.838

---

[6]
AcScAg: optimized geometry, PBE-GGA.

Calculated values
As for the space-group type: F-43m (216). The calculation puts the energy relative to the elements at 145 meV per atom.

a = 5.138 Å, b = 5.138 Å, c = 5.138 Å
α = 60.00°, β = 60.00°, γ = 60.00°
Atoms (fractional coordinates):
Ac  0.250  0.250  0.250
Ag  0.000  0.000  0.000
Sc  0.750  0.750  0.750

---

[7]
AcScAg: optimized geometry, PBE-GGA.

Calculated values
As for the space-group type: F-43m (216). The calculation puts the energy relative to the elements at 701 meV per atom.

a = 5.113 Å, b = 5.113 Å, c = 5.113 Å
α = 60.00°, β = 60.00°, γ = 60.00°
Atoms (fractional coordinates):
Ac  0.000  0.000  0.000
Ag  0.250  0.250  0.250
Sc  0.750  0.750  0.750

---

[8]
AcAgSn: optimized geometry, PBE-GGA.

Calculated values
As for the space-group type: F-43m (216). The value obtained for the total energy is -10.82 eV/cell.

a = 5.339 Å, b = 5.339 Å, c = 5.339 Å
α = 60.00°, β = 60.00°, γ = 60.00°
Atoms (fractional coordinates):
Ac  0.000  0.000  0.000
Ag  0.250  0.250  0.250
Sn  0.750  0.750  0.750

---

Copy entry 6 word for word.
AcScAg: optimized geometry, PBE-GGA.

Calculated values
As for the space-group type: F-43m (216). The calculation puts the energy relative to the elements at 145 meV per atom.

a = 5.138 Å, b = 5.138 Å, c = 5.138 Å
α = 60.00°, β = 60.00°, γ = 60.00°
Atoms (fractional coordinates):
Ac  0.250  0.250  0.250
Ag  0.000  0.000  0.000
Sc  0.750  0.750  0.750